(1)
First-principles (PBE) data for a relaxed structure of Hf2Ag2Ge, as listed in the Alexandria database.

It has space group P4/mbm (No. 127), with a = 7.8500 Å, b = 7.8500 Å, c = 3.2411 Å, α = 90.00°, β = 90.00° and γ = 90.00°. The asymmetric unit holds Hf at (0.1740, 0.3260, 0.0000), Ag at (0.1241, 0.6241, 0.5000) and Ge at (0.0000, 0.0000, 0.5000).

For the excess energy over the best structure of this formula in the dataset, the calculation gives 0.14 eV/f.u. For the formation energy, the calculation gives 161 meV per atom.

=====

(2)
First-principles (PBE) data for a relaxed structure of HfAgGeO5, as listed in the Alexandria database.

It has space group C2/c (No. 15), with a = 6.5778 Å, b = 9.2582 Å, c = 7.7611 Å, α = 90.00°, β = 113.63° and γ = 90.00°. The asymmetric unit holds Hf at (0.0000, 0.0000, 0.0000), Ag at (0.0000, 0.3168, 0.2500), Ge at (0.0000, 0.3119, 0.7500), O at (0.0000, 0.0828, 0.2500), O at (0.1361, 0.1928, 0.6464) and O at (0.1823, 0.4234, 0.9260).

The calculation puts the formation energy without anion corrections at -1893 meV/atom.

=====

(3)
First-principles (PBE) data for a relaxed structure of RbHf2AgGe, as listed in the Alexandria database.

It has space group P4/mmm (No. 123), with a = 5.3611 Å, b = 5.3611 Å, c = 4.9906 Å, α = 90.00°, β = 90.00° and γ = 90.00°. The asymmetric unit holds Rb at (0.0000, 0.0000, 0.0000), Hf at (0.0000, 0.5000, 0.5000), Ag at (0.5000, 0.5000, 0.5000) and Ge at (0.5000, 0.5000, 0.0000).

For the formation energy, the calculation gives 1166 meV per atom.